No. 1
# PBE-GGA ZnAsOs2, optimized geometry
# - Density: 15.4 Mg/m³
# - Distance to the lowest polymorph of the same formula: 0.1305 eV/atom
# - Calculated formation energy: 0.354 eV/atom
# - Density of states at the Fermi level: 10.36 states/eV/cell
# - M_tot: 0.000 μB per formula unit
data_ZnAsOs2
_cell_length_a 6.083
_cell_length_b 6.083
_cell_length_c 6.083
_cell_angle_alpha 90.00
_cell_angle_beta 90.00
_cell_angle_gamma 90.00
_symmetry_space_group_name_H-M 'F m -3 m'
_symmetry_Int_Tables_number 225
_symmetry_space_group_name_Hall '-F 4 2 3'
loop_
_atom_site_label
_atom_site_type_symbol
_atom_site_fract_x
_atom_site_fract_y
_atom_site_fract_z
_atom_site_occupancy
Zn1 Zn 0.000 0.000 0.000 1
As1 As 0.000 0.000 0.500 1
Os1 Os 0.250 0.250 0.250 1



No. 2
# PBE-GGA ZnAsOs2, optimized geometry
# - Density: 14.8 Mg/m³
# - Distance to the lowest polymorph of the same formula: 0.1117 eV/atom
# - Calculated formation energy: 0.335 eV/atom
# - Density of states at the Fermi level: 3.49 states/eV/cell
# - M_tot: 0.000 μB per formula unit
data_ZnAsOs2
_cell_length_a 2.958
_cell_length_b 4.374
_cell_length_c 4.506
_cell_angle_alpha 90.00
_cell_angle_beta 90.00
_cell_angle_gamma 90.00
_symmetry_space_group_name_H-M 'P m m 2'
_symmetry_Int_Tables_number 25
_symmetry_space_group_name_Hall 'P 2 -2'
loop_
_atom_site_label
_atom_site_type_symbol
_atom_site_fract_x
_atom_site_fract_y
_atom_site_fract_z
_atom_site_occupancy
Zn1 Zn 0.000 0.000 0.000 1
As1 As 0.500 0.500 0.829 1
Os1 Os 0.000 0.500 0.307 1
Os2 Os 0.500 0.000 0.507 1



No. 3
# PBE-GGA ZnAs2Os, optimized geometry
# - Density: 9.3 Mg/m³
# - Calculated formation energy: 0.391 eV/atom
# - Density of states at the Fermi level: 5.83 states/eV/cell
# - M_tot: 0.000 μB per formula unit
data_ZnAs2Os
_cell_length_a 2.900
_cell_length_b 4.945
_cell_length_c 10.064
_cell_angle_alpha 90.00
_cell_angle_beta 90.00
_cell_angle_gamma 90.00
_symmetry_space_group_name_H-M 'C m m m'
_symmetry_Int_Tables_number 65
_symmetry_space_group_name_Hall '-C 2 2'
loop_
_atom_site_label
_atom_site_type_symbol
_atom_site_fract_x
_atom_site_fract_y
_atom_site_fract_z
_atom_site_occupancy
Zn1 Zn 0.000 0.000 0.000 1
As1 As 0.000 0.500 0.290 1
Os1 Os 0.000 0.000 0.500 1



No. 4
# PBE-GGA ZrAs3Os, optimized geometry
# - Density: 6.3 Mg/m³
# - Distance to the lowest polymorph of the same formula: 0.7226 eV/atom
# - Calculated formation energy: 1.365 eV/atom
# - Density of states at the Fermi level: 5.42 states/eV/cell
# - M_tot: 2.889 μB per formula unit
data_ZrAs3Os
_cell_length_a 5.097
_cell_length_b 5.097
_cell_length_c 5.097
_cell_angle_alpha 90.00
_cell_angle_beta 90.00
_cell_angle_gamma 90.00
_symmetry_space_group_name_H-M 'P m -3 m'
_symmetry_Int_Tables_number 221
_symmetry_space_group_name_Hall '-P 4 2 3'
loop_
_atom_site_label
_atom_site_type_symbol
_atom_site_fract_x
_atom_site_fract_y
_atom_site_fract_z
_atom_site_occupancy
Zr1 Zr 0.000 0.000 0.000 1
As1 As 0.000 0.000 0.500 1
Os1 Os 0.500 0.500 0.500 1



No. 5
# PBE-GGA ZrAsOs2, optimized geometry
# - Density: 13.6 Mg/m³
# - Calculated formation energy: -0.052 eV/atom
# - Density of states at the Fermi level: 7.51 states/eV/cell
# - M_tot: 0.000 μB per formula unit
data_ZrAsOs2
_cell_length_a 9.723
_cell_length_b 3.021
_cell_length_c 4.796
_cell_angle_alpha 90.00
_cell_angle_beta 108.65
_cell_angle_gamma 90.00
_symmetry_space_group_name_H-M 'C 1 m 1'
_symmetry_Int_Tables_number 8
_symmetry_space_group_name_Hall 'C -2y'
loop_
_atom_site_label
_atom_site_type_symbol
_atom_site_fract_x
_atom_site_fract_y
_atom_site_fract_z
_atom_site_occupancy
Zr1 Zr 0.000 0.000 0.000 1
As1 As 0.235 0.000 0.764 1
Os1 Os 0.004 0.500 0.487 1
Os2 Os 0.271 0.500 0.370 1



No. 6
# PBE-GGA ZrAsOs3, optimized geometry
# - Density: 13.3 Mg/m³
# - Distance to the lowest polymorph of the same formula: 0.0000 eV/atom
# - Calculated formation energy: 0.907 eV/atom
# - Density of states at the Fermi level: 2.82 states/eV/cell
# - M_tot: 0.000 μB per formula unit
data_ZrAsOs3
_cell_length_a 4.516
_cell_length_b 4.516
_cell_length_c 4.516
_cell_angle_alpha 90.00
_cell_angle_beta 90.00
_cell_angle_gamma 90.00
_symmetry_space_group_name_H-M 'P m -3 m'
_symmetry_Int_Tables_number 221
_symmetry_space_group_name_Hall '-P 4 2 3'
loop_
_atom_site_label
_atom_site_type_symbol
_atom_site_fract_x
_atom_site_fract_y
_atom_site_fract_z
_atom_site_occupancy
Zr1 Zr 0.000 0.000 0.000 1
As1 As 0.500 0.500 0.500 1
Os1 Os 0.000 0.500 0.500 1



No. 7
# PBE-GGA ZrAsOs2, optimized geometry
# - Density: 13.6 Mg/m³
# - Calculated formation energy: 0.265 eV/atom
# - Density of states at the Fermi level: 11.09 states/eV/cell
# - M_tot: 0.000 μB per formula unit
data_ZrAsOs2
_cell_length_a 3.0182
_cell_length_b 3.0182
_cell_length_c 25.3408
_cell_angle_alpha 90.00
_cell_angle_beta 90.00
_cell_angle_gamma 120.00
_symmetry_space_group_name_H-M 'R -3 m'
_symmetry_Int_Tables_number 166
_symmetry_space_group_name_Hall '-R 3 2"'
loop_
_atom_site_label
_atom_site_type_symbol
_atom_site_fract_x
_atom_site_fract_y
_atom_site_fract_z
_atom_site_occupancy
Zr1 Zr 0.0000 0.0000 0.0000 1
As1 As 0.0000 0.0000 0.5000 1
Os1 Os 0.0000 0.0000 0.2453 1



No. 8
# PBE-GGA ZrAsOs2, optimized geometry
# - Density: 14.0 Mg/m³
# - Calculated formation energy: 0.040 eV/atom
# - Density of states at the Fermi level: 5.67 states/eV/cell
# - M_tot: 0.000 μB per formula unit
data_ZrAsOs2
_cell_length_a 4.125
_cell_length_b 4.125
_cell_length_c 7.636
_cell_angle_alpha 90.00
_cell_angle_beta 90.00
_cell_angle_gamma 90.00
_symmetry_space_group_name_H-M 'I 4/m m m'
_symmetry_Int_Tables_number 139
_symmetry_space_group_name_Hall '-I 4 2'
loop_
_atom_site_label
_atom_site_type_symbol
_atom_site_fract_x
_atom_site_fract_y
_atom_site_fract_z
_atom_site_occupancy
Zr1 Zr 0.000 0.000 0.000 1
As1 As 0.000 0.000 0.500 1
Os1 Os 0.000 0.500 0.250 1